No. 1
VASP calculation (GGA-PBE) on a geometry-optimized ZrScFe structure.

a = 5.901 Å, b = 5.901 Å, c = 3.192 Å
α = 74.31°, β = 74.31°, γ = 31.38°
Sites, in units of the cell vectors:
1 Fe 0.996 0.996 0.004
2 Sc 0.643 0.643 0.357
3 Zr 0.362 0.362 0.638

Output
DFT total energy: -7.8391 eV/atom
energy above the most stable polymorph in this dataset: 26 meV/atom

=====

No. 2
VASP calculation (GGA-PBE) on a geometry-optimized Fe2NiAg structure.

a = 3.714 Å, b = 2.645 Å, c = 5.997 Å
α = 64.23°, β = 90.00°, γ = 90.00°
Sites, in units of the cell vectors:
1 Ag 0.500 0.750 0.750
2 Fe 0.000 0.971 0.031
3 Fe 0.000 0.529 0.469
4 Ni 0.500 0.250 0.250

Output
DFT total energy: -6.1676 eV/atom
energy above the most stable polymorph in this dataset: 36 meV/atom